(1)
This record from the Alexandria database describes a relaxed PuAlZnPt crystal. The functional is PBE.

Cell: 4.2920 4.2920 15.3337 Å, 90.00 90.00 120.00°
Space group R3m (No. 160, hexagonal axes)
Symmetry-distinct sites (fractional):
Pu  0.0000  0.0000  0.0000
Al  0.0000  0.0000  0.7942
Zn  0.0000  0.0000  0.2085
Pt  0.0000  0.0000  0.4717



(2)
This record from the Alexandria database describes a relaxed Pu2Al4ZnPt3 crystal. The functional is PBE.

Cell: 4.202 4.202 10.700 Å, 90.00 90.00 90.00°
Space group P-4m2 (No. 115)
Symmetry-distinct sites (fractional):
Pu  0.000  0.500  0.250
Al  0.000  0.000  0.000
Al  0.000  0.500  0.633
Al  0.500  0.500  0.000
Zn  0.000  0.000  0.500
Pt  0.000  0.500  0.866
Pt  0.500  0.500  0.500



(3)
This record from the Alexandria database describes a relaxed PuAlZnPt2 crystal. The functional is PBE.

Cell: 3.999 3.999 11.845 Å, 90.00 90.00 90.00°
Space group I-4m2 (No. 119)
Symmetry-distinct sites (fractional):
Pu  0.000  0.000  0.000
Al  0.000  0.500  0.250
Zn  0.000  0.500  0.750
Pt  0.000  0.000  0.386



(4)
This record from the Alexandria database describes a relaxed Rb3AlPt crystal. The functional is PBE.

Cell: 6.431 6.431 6.431 Å, 90.00 90.00 90.00°
Space group Pm-3m (No. 221)
Symmetry-distinct sites (fractional):
Rb  0.000  0.000  0.500
Al  0.500  0.500  0.500
Pt  0.000  0.000  0.000



(5)
This record from the Alexandria database describes a relaxed Rb2Al2Pt crystal. The functional is PBE.

Cell: 6.859 6.859 6.416 Å, 90.00 90.00 90.00°
Space group P4/mbm (No. 127)
Symmetry-distinct sites (fractional):
Rb  0.175  0.325  0.000
Al  0.206  0.706  0.500
Pt  0.000  0.000  0.500



(6)
This record from the Alexandria database describes a relaxed Rb2ScAlPt crystal. The functional is PBE.

Cell: 6.159 6.159 5.473 Å, 90.00 90.00 90.00°
Space group P4/mmm (No. 123)
Symmetry-distinct sites (fractional):
Rb  0.000  0.500  0.000
Sc  0.000  0.000  0.500
Al  0.000  0.000  0.000
Pt  0.500  0.500  0.500



(7)
This record from the Alexandria database describes a relaxed RbAl2SnPt crystal. The functional is PBE.

Cell: 5.556 5.556 5.925 Å, 90.00 90.00 90.00°
Space group P4/mmm (No. 123)
Symmetry-distinct sites (fractional):
Rb  0.000  0.000  0.000
Al  0.000  0.500  0.000
Sn  0.000  0.000  0.500
Pt  0.500  0.500  0.500



(8)
This record from the Alexandria database describes a relaxed RbAlZn2Pt crystal. The functional is PBE.

Cell: 5.037 5.037 4.805 Å, 90.00 90.00 90.00°
Space group P4/mmm (No. 123)
Symmetry-distinct sites (fractional):
Rb  0.000  0.000  0.000
Al  0.500  0.500  0.000
Zn  0.000  0.500  0.500
Pt  0.500  0.500  0.500



| no. | ΔH_f (0 K) (kcal/mol of atoms) |
| --- | --- |
| 1 | -10.96 |
| 2 | -17.46 |
| 3 | -17.60 |
| 4 | 10.41 |
| 5 | -1.13 |
| 6 | 22.64 |
| 7 | 46.03 |
| 8 | -6.46 |